LiSm2ScO5: optimized geometry, GGA-PBE.

a = 6.8870 Å, b = 6.8870 Å, c = 9.8305 Å
α = 90.00°, β = 90.00°, γ = 152.24°
Fractional positions:
Li: 0.0210 0.9790 0.5000
Li: 0.9790 0.0210 0.0000
Sm: 0.3728 0.6272 0.3223
Sm: 0.3919 0.6081 0.7073
Sm: 0.6081 0.3919 0.2073
Sm: 0.6272 0.3728 0.8223
Sc: 0.3018 0.6982 0.0265
Sc: 0.6982 0.3018 0.5265
O: 0.0010 0.9990 0.8036
O: 0.1393 0.8607 0.0239
O: 0.1941 0.8059 0.3856
O: 0.2140 0.7860 0.6776
O: 0.4468 0.5532 0.0811
O: 0.5532 0.4468 0.5811
O: 0.7860 0.2140 0.1776
O: 0.8059 0.1941 0.8856
O: 0.8607 0.1393 0.5239
O: 0.9990 0.0010 0.3036

Total energy: -0.57666 Ry per atom
SG: Cmc2_1
Formation energy from raw total energies: -3126 meV/atom
Crystal system: orthorhombic